{
  "formula": "Sc2AsBr",
  "functional": "PBE-GGA",
  "state": "relaxed",
  "final_energy_ev_per_atom": -5.3188,
  "cell": [[10.3413, 0.0292, 0.0172], [9.7652, 3.4035, 0.0172], [9.7652, 1.6671, 2.9672]],
  "species": ["As", "Br", "Sc", "Sc"],
  "frac_coords": [[0.5169, 0.5169, 0.5169], [0.7302, 0.7302, 0.7302], [0.0031, 0.0031, 0.0031], [0.2498, 0.2498, 0.2498]]
}